La3ErTl4S8, relaxed, DFT PBE-GGA; formation energy without anion corrections = -1.510 eV per atom; total DFT energy (no corrections) = -5.374 eV per atom; total moment = 0.00 Bohr magnetons per cell; D(E_F) = 0.00 states/eV/atom; symmetry = R-3m, No. 166
1.0
4.213 2.432 7.462
-4.213 2.432 7.462
0.000 -4.865 7.462
La Er Tl S
3 1 4 8
Direct
0.000 0.500 0.500
0.500 0.000 0.500
0.500 0.500 0.000
0.000 0.000 0.000
0.000 0.000 0.500
0.000 0.500 0.000
0.500 0.000 0.000
0.500 0.500 0.500
0.227 0.227 0.747
0.227 0.747 0.227
0.253 0.773 0.773
0.265 0.265 0.265
0.735 0.735 0.735
0.747 0.227 0.227
0.773 0.253 0.773
0.773 0.773 0.253

***

CrInCu2, relaxed, DFT PBE-GGA; total DFT energy (no corrections) = -4.601 eV per atom; total moment = 7.23 Bohr magnetons per cell; energy of formation = 0.538 eV per atom; D(E_F) = 0.48 states/eV/atom; symmetry = I-42d, No. 122
1.0
-1.928 1.928 9.182
1.928 -1.928 9.182
1.928 1.928 -9.182
Cr In Cu
2 2 4
Direct
0.000 0.000 0.000
0.750 0.250 0.500
0.250 0.750 0.500
0.500 0.500 0.000
0.108 0.625 0.983
0.375 0.358 0.483
0.642 0.125 0.017
0.875 0.892 0.517

***

TmGaSi, relaxed, DFT PBE-GGA; formation energy without anion corrections = -0.277 eV per atom; total DFT energy (no corrections) = -4.584 eV per atom; total moment = 0.00 Bohr magnetons per cell; D(E_F) = 0.79 states/eV/atom; symmetry = I4mm, No. 107
1.0
-1.686 1.686 5.142
1.686 -1.686 5.142
1.686 1.686 -5.142
Tm Ga Si
1 1 1
Direct
0.000 0.000 0.000
0.305 0.305 0.000
0.688 0.688 0.000

***

ZrSiAu2, relaxed, DFT PBE-GGA; formation energy without anion corrections = -0.429 eV per atom; total DFT energy (no corrections) = -5.560 eV per atom; total moment = 0.00 Bohr magnetons per cell; D(E_F) = 0.18 states/eV/atom; symmetry = Amm2, No. 38
1.0
4.026 0.000 0.000
0.000 1.569 5.699
0.000 -1.569 5.699
Zr Si Au
1 1 2
Direct
0.000 0.000 0.000
0.500 0.399 0.399
0.000 0.265 0.265
0.500 0.640 0.640

***

SrRhO2F, relaxed, DFT PBE-GGA; formation energy without anion corrections = -0.389 eV per atom; total DFT energy (no corrections) = -4.553 eV per atom; total moment = 4.00 Bohr magnetons per cell; D(E_F) = 0.55 states/eV/atom; symmetry = P4/mmm, No. 123
1.0
4.644 0.000 0.000
0.000 4.644 0.000
0.000 0.000 4.482
Sr Rh O F
1 1 2 1
Direct
0.000 0.000 0.000
0.500 0.500 0.500
0.000 0.500 0.000
0.500 0.000 0.000
0.000 0.000 0.500

***

Tb2CoNi12B3, relaxed, DFT PBE-GGA; total DFT energy (no corrections) = -5.882 eV per atom; total moment = 3.05 Bohr magnetons per cell; energy of formation = -0.006 eV per atom; D(E_F) = 0.79 states/eV/atom; symmetry = R-3m, No. 166
1.0
3.569 2.060 5.298
-3.569 2.060 5.298
0.000 -4.121 5.298
Tb Co Ni B
2 1 12 3
Direct
0.097 0.097 0.097
0.903 0.903 0.903
0.500 0.500 0.500
0.092 0.636 0.636
0.227 0.227 0.620
0.227 0.620 0.227
0.364 0.364 0.908
0.364 0.908 0.364
0.380 0.773 0.773
0.620 0.227 0.227
0.636 0.092 0.636
0.636 0.636 0.092
0.773 0.380 0.773
0.773 0.773 0.380
0.908 0.364 0.364
0.000 0.500 0.500
0.500 0.000 0.500
0.500 0.500 0.000

***

V4Mo3W4, relaxed, DFT PBE-GGA; distance to the lowest polymorph of the same formula = 0.0000 eV per atom; total DFT energy (no corrections) = -11.083 eV per atom; total moment = 0.00 Bohr magnetons per cell; energy of formation = -0.103 eV per atom; D(E_F) = 0.58 states/eV/atom; symmetry = P-1, No. 2
1.0
2.734 0.000 0.000
-0.004 4.375 0.000
-0.959 -2.172 13.894
V Mo W
4 3 4
Direct
0.050 0.319 0.137
0.144 0.956 0.411
0.856 0.044 0.589
0.950 0.681 0.863
0.409 0.864 0.228
0.500 0.500 0.500
0.591 0.136 0.772
0.230 0.591 0.681
0.318 0.227 0.954
0.682 0.773 0.046
0.770 0.409 0.319

***

YErIn2, relaxed, DFT PBE-GGA; distance to the lowest polymorph of the same formula = 0.0000 eV per atom; total DFT energy (no corrections) = -4.596 eV per atom; total moment = 0.00 Bohr magnetons per cell; energy of formation = -0.470 eV per atom; D(E_F) = 0.43 states/eV/atom; symmetry = Fm-3m, No. 225
1.0
0.000 3.749 3.749
3.749 0.000 3.749
3.749 3.749 0.000
Y Er In
1 1 2
Direct
0.000 0.000 0.000
0.500 0.500 0.500
0.250 0.250 0.250
0.750 0.750 0.750